VASP calculation (PBE-GGA) on an optimized crystal structure of Li2BeAu.

Values from the calculation:
total DFT energy (no corrections): -2.82 eV/atom
calculated density: 6.7 Mg/m³
DOS(E_F): 1.4 states/eV/f.u.
crystal system: monoclinic
formation energy from the elements: -0.11 eV per atom

a = 4.835 Å, b = 9.049 Å, c = 2.796 Å
α = 90.00°, β = 117.26°, γ = 90.00°
Space group C2/m (No. 12)
Unique sites:
Li 0.250 0.250 0.000 x4
Be 0.000 0.000 0.500 x2
Au 0.000 0.500 0.500 x2